Computed, not measured: BeZnP2 after structural relaxation at the GGA-PBEsol level of DFT.

Computed properties:
- E_form: 0.296 eV/atom
- E above lowest polymorph: 247 meV per atom
- Volume: 13.36 Å³/atom
- Total DFT energy (no corrections): -3.996 eV/atom

The structure in POSCAR format:
```
BeZnP2
1.0
3.286 0.000 0.000
0.000 3.286 0.000
0.000 0.000 4.951
Zn P Be
1 2 1
Direct
0.500 0.500 0.000
0.000 0.000 0.716
0.000 0.000 0.284
0.500 0.500 0.500
```

---

Computed, not measured: ZrBe3P after structural relaxation at the GGA-PBEsol level of DFT.

Computed properties:
- E_form: 0.461 eV/atom
- Volume: 13.43 Å³/atom
- Total DFT energy (no corrections): -4.915 eV/atom

The structure in POSCAR format:
```
ZrBe3P
1.0
-0.846 -1.548 3.662
3.255 -2.419 -0.271
2.283 2.876 1.743
Be Zr P
3 1 1
Direct
0.000 0.000 0.500
0.500 0.000 0.000
0.000 0.500 0.000
0.500 0.500 0.500
0.000 0.000 0.000
```

---

Computed, not measured: Zr2BeP after structural relaxation at the GGA-PBEsol level of DFT.

Computed properties:
- E_form: -0.502 eV/atom
- E above lowest polymorph: 489 meV per atom
- Volume: 15.96 Å³/atom
- Total DFT energy (no corrections): -7.494 eV/atom

The structure in POSCAR format:
```
Zr2BeP
1.0
3.192 0.036 0.044
-0.380 4.521 -0.021
-0.380 -0.964 4.417
P Zr Be
1 2 1
Direct
0.500 0.000 0.000
0.000 0.000 0.500
0.000 0.500 0.000
0.500 0.500 0.500
```

---

Computed, not measured: Zr2BeP after structural relaxation at the GGA-PBEsol level of DFT.

Computed properties:
- E_form: -0.990 eV/atom
- E above lowest polymorph: 0 meV per atom
- Volume: 15.67 Å³/atom
- Total DFT energy (no corrections): -7.983 eV/atom

The structure in POSCAR format:
```
Zr2BeP
1.0
-1.561 -2.815 -1.454
2.375 -2.208 1.725
-4.192 0.821 2.911
Be Zr P
1 2 1
Direct
0.000 0.556 0.112
0.500 0.979 0.958
0.000 0.273 0.547
0.500 0.691 0.382
```

---

Computed, not measured: Zr2BeP after structural relaxation at the GGA-PBEsol level of DFT.

Computed properties:
- E_form: -0.476 eV/atom
- E above lowest polymorph: 515 meV per atom
- Volume: 15.81 Å³/atom
- Total DFT energy (no corrections): -7.469 eV/atom

The structure in POSCAR format:
```
Zr2BeP
1.0
3.683 0.000 0.000
0.000 4.145 0.000
0.000 0.000 4.145
Be Zr P
1 2 1
Direct
0.500 0.500 0.500
0.000 0.500 0.000
0.000 0.000 0.500
0.500 0.000 0.000
```

---

Computed, not measured: PaBe13 after structural relaxation at the GGA-PBEsol level of DFT.

Computed properties:
- E_form: -0.116 eV/atom
- Volume: 9.35 Å³/atom
- Total DFT energy (no corrections): -4.561 eV/atom

The structure in POSCAR format:
```
PaBe13
1.0
-5.656 1.444 4.182
0.477 -0.872 7.111
0.101 5.734 4.321
Pa Be
2 26
Direct
0.750 0.750 0.750
0.250 0.250 0.250
0.209 0.560 0.440
0.709 0.940 0.060
0.940 0.291 0.060
0.209 0.791 0.560
0.060 0.940 0.291
0.709 0.291 0.940
0.000 0.000 0.000
0.940 0.709 0.291
0.791 0.440 0.560
0.440 0.560 0.791
0.291 0.060 0.940
0.560 0.791 0.440
0.440 0.209 0.560
0.791 0.560 0.209
0.791 0.209 0.440
0.560 0.209 0.791
0.291 0.940 0.709
0.709 0.060 0.291
0.940 0.060 0.709
0.060 0.709 0.940
0.291 0.709 0.060
0.560 0.440 0.209
0.500 0.500 0.500
0.209 0.440 0.791
0.060 0.291 0.709
0.440 0.791 0.209
```

---

Computed, not measured: Be3Pb after structural relaxation at the GGA-PBEsol level of DFT.

Computed properties:
- E_form: 0.952 eV/atom
- E above lowest polymorph: 432 meV per atom
- Volume: 14.81 Å³/atom
- Total DFT energy (no corrections): -3.048 eV/atom

The structure in POSCAR format:
```
Be3Pb
1.0
-1.762 1.700 -2.128
-2.645 -3.827 0.780
0.383 2.933 3.675
Be Pb
3 1
Direct
0.500 0.500 0.500
0.000 0.500 0.000
0.000 0.000 0.500
0.500 0.000 0.000
```

---

Computed, not measured: Be3Pb after structural relaxation at the GGA-PBEsol level of DFT.

Computed properties:
- E_form: 0.606 eV/atom
- E above lowest polymorph: 86 meV per atom
- Volume: 15.11 Å³/atom
- Total DFT energy (no corrections): -3.394 eV/atom

The structure in POSCAR format:
```
Be3Pb
1.0
3.859 0.000 0.000
-1.930 3.342 0.000
0.000 0.000 4.685
Be Pb
3 1
Direct
0.000 0.000 0.226
0.000 0.000 0.774
0.333 0.667 0.000
0.333 0.667 0.500
```

---

Computed, not measured: Be5Pb after structural relaxation at the GGA-PBEsol level of DFT.

Computed properties:
- E_form: 0.374 eV/atom
- E above lowest polymorph: 0 meV per atom
- Volume: 13.39 Å³/atom
- Total DFT energy (no corrections): -3.626 eV/atom

The structure in POSCAR format:
```
Be5Pb
1.0
-0.250 3.586 -0.111
-3.063 -0.298 -2.744
-1.951 -1.771 5.469
Be Pb
5 1
Direct
0.017 0.772 0.034
0.420 0.920 0.841
0.509 0.509 0.019
0.017 0.262 0.034
0.599 0.099 0.199
0.269 0.269 0.539
```

---

Computed, not measured: Be5Pb after structural relaxation at the GGA-PBEsol level of DFT.

Computed properties:
- E_form: 0.452 eV/atom
- E above lowest polymorph: 78 meV per atom
- Volume: 11.94 Å³/atom
- Total DFT energy (no corrections): -3.548 eV/atom

The structure in POSCAR format:
```
Be5Pb
1.0
-1.258 -1.426 -3.148
-2.225 -3.409 2.433
-2.232 4.075 -0.954
Be Pb
5 1
Direct
0.500 0.500 0.000
0.000 0.333 0.667
0.000 0.667 0.333
0.500 0.000 0.500
0.500 0.500 0.500
0.000 0.000 0.000
```

---

Computed, not measured: Be3Pb after structural relaxation at the GGA-PBEsol level of DFT.

Computed properties:
- E_form: 1.835 eV/atom
- E above lowest polymorph: 1315 meV per atom
- Volume: 25.46 Å³/atom
- Total DFT energy (no corrections): -2.165 eV/atom

The structure in POSCAR format:
```
Be3Pb
1.0
4.670 0.000 0.000
0.000 4.670 0.000
0.000 0.000 4.670
Pb Be
1 3
Direct
0.000 0.000 0.000
0.000 0.500 0.000
0.000 0.000 0.500
0.500 0.000 0.000
```

---

Computed, not measured: Be3Pb after structural relaxation at the GGA-PBEsol level of DFT.

Computed properties:
- E_form: 0.520 eV/atom
- E above lowest polymorph: 0 meV per atom
- Volume: 14.82 Å³/atom
- Total DFT energy (no corrections): -3.479 eV/atom

The structure in POSCAR format:
```
Be3Pb
1.0
-1.383 -2.377 2.245
5.432 -0.786 2.514
-3.263 4.359 2.606
Be Pb
6 2
Direct
0.750 0.772 0.893
0.750 0.107 0.228
0.250 0.893 0.772
0.250 0.877 0.123
0.250 0.228 0.107
0.750 0.123 0.877
0.250 0.340 0.660
0.750 0.660 0.340
```